Entry 1:
The following is a meta-GGA SCAN calculation of a crystal of ReSbAs2 relaxed with PBEsol, from Alexandria via LeMat-Bulk.

Structure (CIF):
```
data_ReSbAs2
_cell_length_a 3.038
_cell_length_b 3.038
_cell_length_c 8.356
_cell_angle_alpha 90.00
_cell_angle_beta 90.00
_cell_angle_gamma 90.00
_symmetry_space_group_name_H-M 'P 4/m m m'
_symmetry_Int_Tables_number 123
_symmetry_space_group_name_Hall '-P 4 2'
loop_
_atom_site_label
_atom_site_fract_x
_atom_site_fract_y
_atom_site_fract_z
Re1 0.000 0.000 0.000
Sb1 0.000 0.000 0.500
As1 0.500 0.500 0.180
```

## Properties
Uncorrected formation energy (meV/atom): 178
Total energy (eV per cell): -148.03



Entry 2:
The following is a meta-GGA SCAN calculation of a crystal of Ca12Al14O33 relaxed with PBEsol, from Alexandria via LeMat-Bulk.

Structure (CIF):
```
data_Ca12Al14O33
_cell_length_a 12.004
_cell_length_b 12.004
_cell_length_c 11.906
_cell_angle_alpha 90.00
_cell_angle_beta 90.00
_cell_angle_gamma 90.00
_symmetry_space_group_name_H-M 'I -4'
_symmetry_Int_Tables_number 82
loop_
_symmetry_equiv_pos_as_xyz
'x,y,z'
'y,-x,-z'
'-x,-y,z'
'-y,x,-z'
'x+1/2,y+1/2,z+1/2'
'y+1/2,-x+1/2,-z+1/2'
'-x+1/2,-y+1/2,z+1/2'
'-y+1/2,x+1/2,-z+1/2'
loop_
_atom_site_label
_atom_site_fract_x
_atom_site_fract_y
_atom_site_fract_z
Ca1 0.000 0.000 0.178
Ca2 0.000 0.500 0.014
Ca3 0.112 0.247 0.623
Ca4 0.135 0.754 0.123
Al1 0.000 0.000 0.500
Al2 0.000 0.500 0.750
Al3 0.017 0.769 0.357
Al4 0.018 0.731 0.893
Al5 0.126 0.250 0.126
O1 0.000 0.000 0.000
O2 0.035 0.191 0.223
O3 0.037 0.309 0.026
O4 0.059 0.597 0.842
O5 0.061 0.893 0.421
O6 0.068 0.319 0.437
O7 0.070 0.193 0.807
O8 0.148 0.712 0.315
O9 0.154 0.779 0.928
```

## Properties
Uncorrected formation energy (meV/atom): -3336
Total energy (eV per cell): -1253.90



Entry 3:
The following is a meta-GGA SCAN calculation of a crystal of Rb2NiIr relaxed with PBEsol, from Alexandria via LeMat-Bulk.

Structure (CIF):
```
data_Rb2NiIr
_cell_length_a 7.477
_cell_length_b 7.477
_cell_length_c 7.477
_cell_angle_alpha 90.00
_cell_angle_beta 90.00
_cell_angle_gamma 90.00
_symmetry_space_group_name_H-M 'F m -3 m'
_symmetry_Int_Tables_number 225
_symmetry_space_group_name_Hall '-F 4 2 3'
loop_
_atom_site_label
_atom_site_fract_x
_atom_site_fract_y
_atom_site_fract_z
Rb1 0.250 0.250 0.250
Ni1 0.000 0.000 0.000
Ir1 0.000 0.000 0.500
```

## Properties
Total energy (eV per cell): -490.28



Entry 4:
The following is a meta-GGA SCAN calculation of a crystal of Ir2RhSe relaxed with PBEsol, from Alexandria via LeMat-Bulk.

Structure (CIF):
```
data_Ir2RhSe
_cell_length_a 6.178
_cell_length_b 6.178
_cell_length_c 6.178
_cell_angle_alpha 90.00
_cell_angle_beta 90.00
_cell_angle_gamma 90.00
_symmetry_space_group_name_H-M 'F -4 3 m'
_symmetry_Int_Tables_number 216
_symmetry_space_group_name_Hall 'F -4 2 3'
loop_
_atom_site_label
_atom_site_fract_x
_atom_site_fract_y
_atom_site_fract_z
Ir1 0.000 0.000 0.000
Ir2 0.250 0.250 0.250
Rh1 0.250 0.250 0.750
Se1 0.000 0.000 0.500
```

## Properties
Uncorrected formation energy (meV/atom): 600
Total energy (eV per cell): -774.60



Entry 5:
The following is a meta-GGA SCAN calculation of a crystal of SnH3Au relaxed with PBEsol, from Alexandria via LeMat-Bulk.

Structure (CIF):
```
data_SnH3Au
_cell_length_a 3.832
_cell_length_b 3.832
_cell_length_c 3.832
_cell_angle_alpha 90.00
_cell_angle_beta 90.00
_cell_angle_gamma 90.00
_symmetry_space_group_name_H-M 'P m -3 m'
_symmetry_Int_Tables_number 221
_symmetry_space_group_name_Hall '-P 4 2 3'
loop_
_atom_site_label
_atom_site_fract_x
_atom_site_fract_y
_atom_site_fract_z
Sn1 0.000 0.000 0.000
H1 0.000 0.500 0.500
Au1 0.500 0.500 0.500
```

## Properties
Total energy (eV per cell): -112.97



Entry 6:
The following is a meta-GGA SCAN calculation of a crystal of Na2CaV4O12 relaxed with PBEsol, from Alexandria via LeMat-Bulk.

Structure (CIF):
```
data_Na2CaV4O12
_cell_length_a 10.343
_cell_length_b 10.343
_cell_length_c 4.953
_cell_angle_alpha 90.00
_cell_angle_beta 90.00
_cell_angle_gamma 90.00
_symmetry_space_group_name_H-M 'P 4/n b m'
_symmetry_Int_Tables_number 125
loop_
_symmetry_equiv_pos_as_xyz
'x,y,z'
'-x,-y,-z'
'-y+1/2,x,z'
'y+1/2,-x,-z'
'-x+1/2,-y+1/2,z'
'x+1/2,y+1/2,-z'
'y,-x+1/2,z'
'-y,x+1/2,-z'
'x,-y+1/2,-z'
'-x,y+1/2,z'
'-y+1/2,-x+1/2,-z'
'y+1/2,x+1/2,z'
'-x+1/2,y,-z'
'x+1/2,-y,z'
'y,x,-z'
'-y,-x,z'
loop_
_atom_site_label
_atom_site_fract_x
_atom_site_fract_y
_atom_site_fract_z
Na1 0.000 0.000 0.000
Ca1 0.250 0.250 0.000
V1 0.027 0.750 0.500
O1 0.061 0.184 0.258
O2 0.129 0.629 0.648
```

## Properties
Uncorrected formation energy (meV/atom): -2672
Total energy (eV per cell): -427.19



Entry 7:
The following is a meta-GGA SCAN calculation of a crystal of HgRh2Se relaxed with PBEsol, from Alexandria via LeMat-Bulk.

Structure (CIF):
```
data_HgRh2Se
_cell_length_a 3.156
_cell_length_b 4.621
_cell_length_c 4.712
_cell_angle_alpha 90.00
_cell_angle_beta 90.00
_cell_angle_gamma 90.00
_symmetry_space_group_name_H-M 'P m m 2'
_symmetry_Int_Tables_number 25
loop_
_symmetry_equiv_pos_as_xyz
'x,y,z'
'-x,-y,z'
'-x,y,z'
'x,-y,z'
loop_
_atom_site_label
_atom_site_fract_x
_atom_site_fract_y
_atom_site_fract_z
Hg1 0.000 0.000 0.000
Rh1 0.000 0.500 0.325
Rh2 0.500 0.000 0.494
Se1 0.500 0.500 0.688
```

## Properties
Uncorrected formation energy (meV/atom): 43
Total energy (eV per cell): -155.61



Entry 8:
The following is a meta-GGA SCAN calculation of a crystal of BaSr3Ga relaxed with PBEsol, from Alexandria via LeMat-Bulk.

Structure (CIF):
```
data_BaSr3Ga
_cell_length_a 6.109
_cell_length_b 6.109
_cell_length_c 6.109
_cell_angle_alpha 90.00
_cell_angle_beta 90.00
_cell_angle_gamma 90.00
_symmetry_space_group_name_H-M 'P m -3 m'
_symmetry_Int_Tables_number 221
_symmetry_space_group_name_Hall '-P 4 2 3'
loop_
_atom_site_label
_atom_site_fract_x
_atom_site_fract_y
_atom_site_fract_z
Ba1 0.000 0.000 0.000
Sr1 0.000 0.000 0.500
Ga1 0.500 0.500 0.500
```

## Properties
Total energy (eV per cell): -117.89



Entry 9:
The following is a meta-GGA SCAN calculation of a crystal of YSc2 relaxed with PBEsol, from Alexandria via LeMat-Bulk.

Structure (CIF):
```
data_YSc2
_cell_length_a 12.001
_cell_length_b 3.382
_cell_length_c 7.842
_cell_angle_alpha 90.00
_cell_angle_beta 102.67
_cell_angle_gamma 90.00
_symmetry_space_group_name_H-M 'C 1 m 1'
_symmetry_Int_Tables_number 8
loop_
_symmetry_equiv_pos_as_xyz
'x,y,z'
'x,-y,z'
'x+1/2,y+1/2,z'
'x+1/2,-y+1/2,z'
loop_
_atom_site_label
_atom_site_fract_x
_atom_site_fract_y
_atom_site_fract_z
Y1 0.000 0.000 0.000
Y2 0.171 0.500 0.343
Sc1 0.117 0.500 0.726
Sc2 0.281 0.000 0.059
Sc3 0.337 0.000 0.675
Sc4 0.445 0.500 0.404
```

## Properties
Total energy (eV per cell): -224.55



Entry 10:
The following is a meta-GGA SCAN calculation of a crystal of Sb2C3N6 relaxed with PBEsol, from Alexandria via LeMat-Bulk.

Structure (CIF):
```
data_Sb2C3N6
_cell_length_a 6.7173
_cell_length_b 6.7173
_cell_length_c 28.7702
_cell_angle_alpha 90.00
_cell_angle_beta 90.00
_cell_angle_gamma 120.00
_symmetry_space_group_name_H-M 'R -3 c'
_symmetry_Int_Tables_number 167
_symmetry_space_group_name_Hall '-R 3 2"c'
loop_
_atom_site_label
_atom_site_fract_x
_atom_site_fract_y
_atom_site_fract_z
Sb1 0.0000 0.0000 0.1633
C1 0.0000 0.2578 0.2500
N1 0.0449 0.2843 0.2919
```

## Properties
Uncorrected formation energy (meV/atom): 310
Total energy (eV per cell): -942.94



Entry 11:
The following is a meta-GGA SCAN calculation of a crystal of BaCrRe2 relaxed with PBEsol, from Alexandria via LeMat-Bulk.

Structure (CIF):
```
data_BaCrRe2
_cell_length_a 2.9530
_cell_length_b 2.9530
_cell_length_c 28.7707
_cell_angle_alpha 90.00
_cell_angle_beta 90.00
_cell_angle_gamma 120.00
_symmetry_space_group_name_H-M 'R -3 m'
_symmetry_Int_Tables_number 166
_symmetry_space_group_name_Hall '-R 3 2"'
loop_
_atom_site_label
_atom_site_fract_x
_atom_site_fract_y
_atom_site_fract_z
Ba1 0.0000 0.0000 0.0000
Cr1 0.0000 0.0000 0.5000
Re1 0.0000 0.0000 0.2294
```

## Properties
Total energy (eV per cell): -587.04



Entry 12:
The following is a meta-GGA SCAN calculation of a crystal of SrAsOs2 relaxed with PBEsol, from Alexandria via LeMat-Bulk.

Structure (CIF):
```
data_SrAsOs2
_cell_length_a 3.007
_cell_length_b 3.007
_cell_length_c 7.933
_cell_angle_alpha 90.00
_cell_angle_beta 90.00
_cell_angle_gamma 90.00
_symmetry_space_group_name_H-M 'P 4 m m'
_symmetry_Int_Tables_number 99
loop_
_symmetry_equiv_pos_as_xyz
'x,y,z'
'-y,x,z'
'-x,-y,z'
'y,-x,z'
'-x,y,z'
'y,x,z'
'x,-y,z'
'-y,-x,z'
loop_
_atom_site_label
_atom_site_fract_x
_atom_site_fract_y
_atom_site_fract_z
Sr1 0.000 0.000 0.000
As1 0.500 0.500 0.317
Os1 0.000 0.000 0.506
Os2 0.500 0.500 0.710
```

## Properties
Total energy (eV per cell): -185.02



no.,DOS(E_F) (states/eV/f.u.)
1,1.707
2,0.000
3,4.430
4,5.098
5,1.328
6,0.000
7,2.542
8,5.554
9,5.064
10,0.000
11,3.905
12,3.211